Here is crystalline Ca2MgSe at its relaxed geometry from the Alexandria database. Energies are from PBE.

Geometry as POSCAR:
```
Ca2MgSe
1.0
1.9855 1.1463 9.4206
-1.9855 1.1463 9.4206
0.0000 -2.2927 9.4206
Ca Mg Se
2 1 1
direct
0.0000 0.0000 0.0000
0.2169 0.2169 0.2169
0.7638 0.7638 0.7638
0.4858 0.4858 0.4858
```

Summary:
- formation energy (no corrections) (eV/atom) = -0.706
- density (g/cm³) = 2.4
- E above lowest polymorph (eV per atom) = 0.1805
- N(E_F) (states/eV/atom) = 0.21


Here is crystalline CaBe2Cd at its relaxed geometry from the Alexandria database. Energies are from PBE.

Geometry as POSCAR:
```
CaBe2Cd
1.0
-2.3093 2.3093 3.2992
2.3093 -2.3093 3.2992
2.3093 2.3093 -3.2992
Ca Be Cd
1 2 1
direct
0.0000 0.0000 0.0000
0.5000 0.5000 0.0000
0.7500 0.2500 0.5000
0.2500 0.7500 0.5000
```

Summary:
- density (g/cm³) = 4.0
- ΔE_f (eV/atom) = 0.41
- N(E_F) (states/eV/atom) = 0.43


Here is crystalline NdYTlIn at its relaxed geometry from the Alexandria database. Energies are from PBE.

Geometry as POSCAR:
```
NdYTlIn
1.0
0.0000 3.8394 3.8394
3.8394 0.0000 3.8394
3.8394 3.8394 0.0000
Nd Y Tl In
1 1 1 1
direct
0.0000 0.0000 0.0000
0.5000 0.5000 0.5000
0.7500 0.7500 0.7500
0.2500 0.2500 0.2500
```

Summary:
- density (g/cm³) = 8.1
- ΔE_f (eV/atom) = -0.44
- N(E_F) (states/eV/atom) = 0.51


Here is crystalline ScTaMo at its relaxed geometry from the Alexandria database. Energies are from PBE.

Geometry as POSCAR:
```
ScTaMo
1.0
-1.4014 2.4123 4.0855
1.4014 -2.4123 4.0855
1.4014 2.4123 -4.0855
Sc Ta Mo
1 1 1
direct
0.0000 0.0000 0.0000
0.6573 0.6573 0.0000
0.3339 0.3339 0.0000
```

Summary:
- density (g/cm³) = 9.7
- E above lowest polymorph (eV per atom) = 0.1792
- ΔE_f (eV/atom) = 0.21
- N(E_F) (states/eV/atom) = 0.87


Here is crystalline Re2TcS2 at its relaxed geometry from the Alexandria database. Energies are from PBE.

Geometry as POSCAR:
```
Re2TcS2
1.0
6.9829 0.0000 0.0000
0.0000 6.9829 0.0000
0.0000 0.0000 2.9645
Re Tc S
4 2 4
direct
0.1436 0.3564 0.0000
0.3564 0.8564 0.0000
0.6436 0.1436 0.0000
0.8564 0.6436 0.0000
0.0000 0.0000 0.0000
0.5000 0.5000 0.0000
0.1485 0.6485 0.5000
0.3515 0.1485 0.5000
0.6485 0.8515 0.5000
0.8515 0.3515 0.5000
```

Summary:
- formation energy (no corrections) (eV/atom) = 0.757
- density (g/cm³) = 12.3
- E above lowest polymorph (eV per atom) = 0.1899
- N(E_F) (states/eV/atom) = 0.87


Here is crystalline LiPRuS2 at its relaxed geometry from the Alexandria database. Energies are from PBE.

Geometry as POSCAR:
```
LiPRuS2
1.0
4.8551 0.0000 0.0000
0.0000 4.8551 0.0000
0.0000 0.0000 4.4097
Li P Ru S
1 1 1 2
direct
0.0000 0.0000 0.0000
0.5000 0.5000 0.0000
0.5000 0.5000 0.5000
0.0000 0.5000 0.5000
0.5000 0.0000 0.5000
```

Summary:
- formation energy (no corrections) (eV/atom) = 0.183
- density (g/cm³) = 3.2
- E above lowest polymorph (eV per atom) = 0.0000
- N(E_F) (states/eV/atom) = 1.26